No. 1
This record from Alexandria via LeMat-Bulk describes crystalline TbErMg at its relaxed geometry. The functional is GGA-PBE.

Lattice parameters (Å, degrees): 3.366 5.423 5.423 120.00 90.00 90.00
Sites, in units of the cell vectors:
Mg  0.326  0.333  0.667
Tb  0.623  0.667  0.333
Er  0.051  0.000  0.000

Calculated values
Its energy above the lowest structure with this stoichiometry is 83 meV per atom. Its volume is 28.581 A^3/atom. The space group is No. 156.

***

No. 2
This record from Alexandria via LeMat-Bulk describes crystalline Tb2Er5Mg5 at its relaxed geometry. The functional is GGA-PBE.

Lattice parameters (Å, degrees): 5.259 6.560 11.284 108.22 90.00 113.63
Sites, in units of the cell vectors:
Tb  0.089  0.178  0.741
Tb  0.911  0.822  0.259
Er  0.500  0.000  0.500
Er  0.657  0.313  0.985
Er  0.604  0.207  0.256
Er  0.396  0.793  0.744
Er  0.343  0.687  0.015
Mg  0.174  0.349  0.475
Mg  0.758  0.516  0.765
Mg  0.242  0.484  0.235
Mg  0.826  0.651  0.525
Mg  0.000  0.000  0.000

Calculated values
Its volume is 27.936 A^3/atom. The space group is No. 12.

***

No. 3
This record from Alexandria via LeMat-Bulk describes crystalline Tb7ErMg4 at its relaxed geometry. The functional is GGA-PBE.

Lattice parameters (Å, degrees): 5.745 9.065 8.078 68.33 69.17 71.53
Each line ends with the local moment (μB).
Sites, in units of the cell vectors:
Tb  0.799  0.878  0.524  0.00
Tb  0.201  0.122  0.476  0.00
Tb  0.080  0.576  0.264  0.01
Tb  0.920  0.424  0.736  0.01
Tb  0.251  0.712  0.786  0.01
Tb  0.500  0.000  0.000  0.11
Tb  0.749  0.288  0.214  0.01
Er  0.000  0.000  0.000  0.13
Mg  0.541  0.303  0.615  0.00
Mg  0.459  0.697  0.385  0.00
Mg  0.675  0.654  0.996  0.00
Mg  0.325  0.346  0.004  0.00

Calculated values
Its volume is 29.745 A^3/atom. The space group is No. 12.

***

No. 4
This record from Alexandria via LeMat-Bulk describes crystalline Tb2Er2Mg7 at its relaxed geometry. The functional is GGA-PBE.

Lattice parameters (Å, degrees): 8.711 8.711 8.711 144.99 127.53 64.64
Sites, in units of the cell vectors:
Tb  0.646  0.284  0.362
Tb  0.079  0.716  0.362
Er  0.387  0.000  0.387
Er  0.702  0.500  0.202
Mg  0.160  0.116  0.044
Mg  0.816  0.145  0.671
Mg  0.118  0.500  0.618
Mg  0.238  0.346  0.892
Mg  0.547  0.654  0.892
Mg  0.929  0.884  0.044
Mg  0.526  0.855  0.671

Calculated values
Its volume is 27.011 A^3/atom. The space group is No. 44.

***

No. 5
This record from Alexandria via LeMat-Bulk describes crystalline Tb3Er3Mg2 at its relaxed geometry. The functional is GGA-PBE.

Lattice parameters (Å, degrees): 5.297 6.391 15.533 90.00 90.00 114.48
Sites, in units of the cell vectors:
Tb  0.645  0.290  0.469
Tb  0.355  0.710  0.969
Tb  0.645  0.290  0.031
Tb  0.355  0.710  0.531
Tb  0.466  0.931  0.250
Tb  0.534  0.069  0.750
Er  0.950  0.901  0.399
Er  0.050  0.099  0.899
Er  0.950  0.901  0.101
Er  0.050  0.099  0.601
Er  0.747  0.494  0.250
Er  0.253  0.506  0.750
Mg  0.785  0.570  0.853
Mg  0.215  0.430  0.353
Mg  0.785  0.570  0.647
Mg  0.215  0.430  0.147

Calculated values
Its volume is 29.912 A^3/atom. The space group is No. 63.

***

No. 6
This record from Alexandria via LeMat-Bulk describes crystalline Tb2Er9Mg at its relaxed geometry. The functional is GGA-PBE.

Lattice parameters (Å, degrees): 4.939 4.939 14.877 90.00 90.00 90.00
Sites, in units of the cell vectors:
Tb  0.000  0.000  0.332
Tb  0.000  0.000  0.668
Er  0.500  0.500  0.000
Er  0.500  0.500  0.329
Er  0.500  0.500  0.671
Er  0.500  0.000  0.164
Er  0.500  0.000  0.500
Er  0.500  0.000  0.836
Er  0.000  0.500  0.164
Er  0.000  0.500  0.500
Er  0.000  0.500  0.836
Mg  0.000  0.000  0.000

Calculated values
Its volume is 30.244 A^3/atom. The space group is No. 123.

***

No. 7
This record from Alexandria via LeMat-Bulk describes crystalline Tb2ErMg4 at its relaxed geometry. The functional is GGA-PBE.

Lattice parameters (Å, degrees): 5.383 5.383 8.134 109.33 109.33 90.00
Each line ends with the local moment (μB).
Sites, in units of the cell vectors:
Tb  0.750  0.750  0.499  0.11
Tb  0.250  0.250  0.501  0.11
Er  0.000  0.000  0.000  -0.02
Mg  0.384  0.884  0.768  0.00
Mg  0.884  0.384  0.768  0.00
Mg  0.616  0.116  0.232  0.00
Mg  0.116  0.616  0.232  0.00

Calculated values
Its energy above the lowest structure with this stoichiometry is 0 meV per atom. Its volume is 29.759 A^3/atom. The space group is No. 139.

***

No. 8
This record from Alexandria via LeMat-Bulk describes crystalline Tb7Er3Mg at its relaxed geometry. The functional is GGA-PBE.

Lattice parameters (Å, degrees): 6.505 6.481 9.834 121.82 101.16 85.10
Sites, in units of the cell vectors:
Tb  0.799  0.912  0.841
Tb  0.991  0.669  0.407
Tb  0.546  0.440  0.145
Tb  0.454  0.560  0.855
Tb  0.500  0.000  0.500
Tb  0.009  0.331  0.593
Tb  0.201  0.088  0.159
Er  0.266  0.003  0.782
Er  0.000  0.500  0.000
Er  0.734  0.997  0.218
Mg  0.500  0.500  0.500

Calculated values
Its energy above the lowest structure with this stoichiometry is 0 meV per atom. Its volume is 31.414 A^3/atom. The space group is No. 2.

***

No. 9
This record from Alexandria via LeMat-Bulk describes crystalline TbEr6Mg at its relaxed geometry. The functional is GGA-PBE.

Lattice parameters (Å, degrees): 8.474 9.262 6.280 42.40 47.54 56.80
Sites, in units of the cell vectors:
Tb  0.500  0.500  0.500
Er  0.955  0.528  0.760
Er  0.757  0.955  0.816
Er  0.528  0.243  0.274
Er  0.243  0.045  0.184
Er  0.045  0.472  0.240
Er  0.472  0.757  0.726
Mg  0.000  0.000  0.000

Calculated values
Its energy above the lowest structure with this stoichiometry is 108 meV per atom. Its volume is 30.501 A^3/atom. The space group is No. 148.

***

No. 10
This record from Alexandria via LeMat-Bulk describes crystalline TbEr2Mg4 at its relaxed geometry. The functional is GGA-PBE.

Lattice parameters (Å, degrees): 5.437 5.947 7.103 114.75 90.00 90.00
Sites, in units of the cell vectors:
Tb  0.000  0.500  0.000
Er  0.500  0.131  0.262
Er  0.500  0.869  0.738
Mg  0.500  0.620  0.240
Mg  0.000  0.746  0.492
Mg  0.500  0.380  0.760
Mg  0.000  0.254  0.508

Calculated values
Its energy above the lowest structure with this stoichiometry is 244 meV per atom. Its volume is 29.793 A^3/atom. The space group is No. 65.

***

No. 11
This record from Alexandria via LeMat-Bulk describes crystalline TbErMg at its relaxed geometry. The functional is GGA-PBE.

Lattice parameters (Å, degrees): 5.378 3.423 10.022 70.08 89.99 90.00
Sites, in units of the cell vectors:
Tb  0.977  0.061  0.748
Tb  0.477  0.224  0.580
Er  0.477  0.387  0.920
Er  0.977  0.898  0.409
Mg  0.476  0.564  0.244
Mg  0.976  0.719  0.085

Calculated values
Its energy above the lowest structure with this stoichiometry is 57 meV per atom. Its volume is 28.908 A^3/atom. The space group is No. 4.

***

No. 12
This record from Alexandria via LeMat-Bulk describes crystalline Tb2Er2Mg5 at its relaxed geometry. The functional is GGA-PBE.

Lattice parameters (Å, degrees): 11.262 6.330 9.511 109.44 126.30 90.00
Sites, in units of the cell vectors:
Tb  0.000  0.026  0.000
Tb  0.500  0.526  0.000
Tb  0.261  0.341  0.500
Tb  0.739  0.841  0.500
Er  0.127  0.679  0.246
Er  0.873  0.433  0.754
Er  0.619  0.179  0.246
Er  0.381  0.933  0.754
Mg  0.193  0.688  0.880
Mg  0.807  0.808  0.120
Mg  0.187  0.188  0.880
Mg  0.813  0.308  0.120
Mg  0.386  0.982  0.289
Mg  0.614  0.693  0.711
Mg  0.403  0.482  0.289
Mg  0.597  0.193  0.711
Mg  0.014  0.686  0.500
Mg  0.986  0.186  0.500

Calculated values
Its volume is 27.648 A^3/atom. The space group is No. 46.

***

no.,DOS(E_F) (states/eV/cell),energy (eV/atom),DFT formation energy (kJ per mole of atoms)
1,3.87,-3.55,4.40
2,14.03,-3.32,1.36
3,14.81,-3.45,16.08
4,10.54,-2.63,5.69
5,25.70,-3.76,7.91
6,15.48,-4.30,2.23
7,6.04,-2.75,13.46
8,16.59,-4.24,9.15
9,12.83,-4.06,13.51
10,5.34,-2.48,37.94
11,7.36,-3.58,1.84
12,16.03,-2.84,8.14